# 1
Here is a relaxed K2Ho crystal from OQMD. Energies are from GGA-PBE.

Summary:
Space-group type: Fd-3m, No. 227
Calculated total energy: -0.7663 eV per atom

Geometry as POSCAR:
```
K2Ho
1.0
-10.2970 -0.6083 7.0456
-7.8096 -9.6781 -1.1757
-0.8350 -8.4955 9.1197
Ho K
2 4
Cartesian
-4.7354 -4.6955 3.7474
-9.4708 -9.3909 7.4948
-7.1031 -7.0432 5.6211
-12.2517 -7.3474 9.1438
-11.0079 -11.8823 5.0332
-7.5206 -11.2909 10.1809
```

***

# 2
Here is a relaxed K2Ho crystal from OQMD. Energies are from GGA-PBE.

Summary:
Space-group type: Fd-3m, No. 227
Calculated total energy: -1.5496 eV per atom

Geometry as POSCAR:
```
K2Ho
1.0
3.1638 -6.5023 1.5307
-3.6242 -5.0116 4.0474
-2.5319 -6.1790 -3.1690
Ho K
2 4
Cartesian
0.0000 0.0000 0.0000
-0.7481 -4.4232 0.6023
-0.6043 -7.9686 3.0902
-0.0581 -8.5523 -0.5180
-3.4521 -7.8069 0.7403
-1.8702 -11.0581 1.5057
```

***

# 3
Here is a relaxed K2Ho crystal from OQMD. Energies are from GGA-PBE.

Summary:
Space-group type: Fm-3m, No. 225
Calculated total energy: -1.2318 eV per atom

Geometry as POSCAR:
```
K2Ho
1.0
-5.1890 2.6154 3.1781
-0.8433 6.5682 0.1193
-4.9379 2.7678 -3.4385
Ho K
1 2
Cartesian
0.0000 0.0000 0.0000
-2.7426 2.9878 -0.0353
-8.2277 8.9635 -0.1059
```

***

# 4
Here is a relaxed KHoLu crystal from OQMD. Energies are from GGA-PBE.

Summary:
Excess energy over the best structure of this formula in the dataset: 0.00 eV/f.u.
Space-group type: F-43m, No. 216

Geometry as POSCAR:
```
KHoLu
1.0
0.0000 4.0985 4.0985
4.0985 0.0000 4.0985
4.0985 4.0985 0.0000
Ho K Lu
1 1 1
Cartesian
2.0492 2.0492 2.0492
6.1477 6.1477 6.1477
0.0000 0.0000 0.0000
```

***

# 5
Here is a relaxed KHoMg crystal from OQMD. Energies are from GGA-PBE.

Summary:
Space-group type: F-43m, No. 216
Calculated total energy: -1.3554 eV per atom

Geometry as POSCAR:
```
KHoMg
1.0
-3.9305 2.5976 2.9854
-4.2796 2.4776 -2.5799
-5.1198 -2.1820 0.3682
Ho K Mg
1 1 1
Cartesian
-3.3325 0.7233 0.1934
0.0000 0.0000 0.0000
-9.9974 2.1699 0.5803
```

***

# 6
Here is a relaxed KHoMgS3 crystal from OQMD. Energies are from GGA-PBE.

Summary:
Space-group type: Pnma, No. 62
Calculated total energy: -4.9392 eV per atom

Geometry as POSCAR:
```
KHoMgS3
1.0
10.7467 0.0000 0.0000
0.0000 4.0693 0.0000
0.0000 0.0000 14.3392
Ho K Mg S
4 4 4 12
Cartesian
5.2308 3.0520 3.5186
10.6042 3.0520 3.6510
0.1425 1.0173 10.6882
5.5159 1.0173 10.8206
8.2597 1.0173 0.0799
2.8863 1.0173 7.0897
7.8603 3.0520 7.2495
2.4870 3.0520 14.2593
2.5377 1.0173 3.1222
7.9110 1.0173 4.0474
2.8357 3.0520 10.2918
8.2090 3.0520 11.2170
4.5466 1.0173 1.8227
0.4779 1.0173 1.9005
7.9254 3.0520 2.6702
2.5521 3.0520 4.4994
5.8512 1.0173 5.2691
9.9199 1.0173 5.3469
0.8267 3.0520 8.9923
4.8955 3.0520 9.0701
8.1946 1.0173 9.8398
2.8213 1.0173 11.6690
10.2688 3.0520 12.4387
6.2001 3.0520 12.5165
```